# 1
DFT (PBE) results for crystalline Sm8Ga2Co at its relaxed geometry.

Cell and atoms, written as CIF:
```
data_Sm8Ga2Co
_chemical_formula_sum 'Sm8 Ga2 Co1'
_cell_length_a 9.444
_cell_length_b 9.444
_cell_length_c 6.769
_cell_angle_alpha 100.29
_cell_angle_beta 100.29
_cell_angle_gamma 30.83
_space_group_name_H-M_alt 'P 1'
_space_group_IT_number 1
_space_group_name_Hall 'P 1'
loop_
_atom_site_label
_atom_site_fract_x
_atom_site_fract_y
_atom_site_fract_z
_atom_site_occupancy
Sm1 0.020 0.020 0.279 1
Sm2 0.208 0.208 0.808 1
Sm3 0.351 0.351 0.526 1
Sm4 0.409 0.409 0.045 1
Sm5 0.591 0.591 0.955 1
Sm6 0.649 0.649 0.474 1
Sm7 0.792 0.792 0.192 1
Sm8 0.980 0.980 0.721 1
Ga1 0.190 0.190 0.251 1
Ga2 0.810 0.810 0.749 1
Co1 0.500 0.500 0.500 1
```

Its final energy is -4.838 eV per atom. The space group is C2/m. The polymorph energy (0 for the lowest one) is 0 meV/atom. The theoretical density is 7.652 g cm⁻³.

# 2
DFT (PBE) results for crystalline ReIrCl at its relaxed geometry.

Cell and atoms, written as CIF:
```
data_ReIrCl
_chemical_formula_sum 'Re1 Ir1 Cl1'
_cell_length_a 6.840
_cell_length_b 6.840
_cell_length_c 6.840
_cell_angle_alpha 155.71
_cell_angle_beta 155.71
_cell_angle_gamma 34.62
_space_group_name_H-M_alt 'P 1'
_space_group_IT_number 1
_space_group_name_Hall 'P 1'
loop_
_atom_site_label
_atom_site_fract_x
_atom_site_fract_y
_atom_site_fract_z
_atom_site_occupancy
Re1 0.000 0.000 0.000 1
Ir1 0.622 0.622 0.000 1
Cl1 0.368 0.368 0.000 1
```

As for the formation energy without anion corrections: 0.472 eV per atom. Its final energy is -7.247 eV per atom. The space group is I4mm. The polymorph energy (0 for the lowest one) is 95 meV/atom. The theoretical density is 12.703 g cm⁻³.

# 3
DFT (PBE) results for crystalline K2Sr2Ca at its relaxed geometry.

Cell and atoms, written as CIF:
```
data_K2Sr2Ca
_chemical_formula_sum 'K4 Sr4 Ca2'
_cell_length_a 11.102
_cell_length_b 11.102
_cell_length_c 4.690
_cell_angle_alpha 90.00
_cell_angle_beta 90.00
_cell_angle_gamma 90.00
_space_group_name_H-M_alt 'P 1'
_space_group_IT_number 1
_space_group_name_Hall 'P 1'
loop_
_atom_site_label
_atom_site_fract_x
_atom_site_fract_y
_atom_site_fract_z
_atom_site_occupancy
K1 0.123 0.377 0.000 1
K2 0.377 0.877 0.000 1
K3 0.623 0.123 0.000 1
K4 0.877 0.623 0.000 1
Sr1 0.179 0.679 0.500 1
Sr2 0.321 0.179 0.500 1
Sr3 0.679 0.821 0.500 1
Sr4 0.821 0.321 0.500 1
Ca1 0.000 0.000 0.000 1
Ca2 0.500 0.500 0.000 1
```

Its final energy is -1.252 eV per atom. The space group is P4/mbm. The polymorph energy (0 for the lowest one) is 3 meV/atom. The theoretical density is 1.686 g cm⁻³.

# 4
DFT (PBE) results for crystalline TlTeCl2 at its relaxed geometry.

Cell and atoms, written as CIF:
```
data_TlTeCl2
_chemical_formula_sum 'Tl1 Te1 Cl2'
_cell_length_a 3.496
_cell_length_b 3.496
_cell_length_c 8.814
_cell_angle_alpha 90.00
_cell_angle_beta 90.00
_cell_angle_gamma 95.35
_space_group_name_H-M_alt 'P 1'
_space_group_IT_number 1
_space_group_name_Hall 'P 1'
loop_
_atom_site_label
_atom_site_fract_x
_atom_site_fract_y
_atom_site_fract_z
_atom_site_occupancy
Tl1 0.000 0.000 0.000 1
Te1 0.000 0.000 0.500 1
Cl1 0.500 0.500 0.230 1
Cl2 0.500 0.500 0.770 1
```

As for the formation energy without anion corrections: -0.247 eV per atom. Its final energy is -2.547 eV per atom. The space group is Cmmm. The polymorph energy (0 for the lowest one) is 219 meV/atom. The theoretical density is 6.237 g cm⁻³.

# 5
DFT (PBE) results for crystalline Sc3Pt2 at its relaxed geometry.

Cell and atoms, written as CIF:
```
data_Sc3Pt2
_chemical_formula_sum 'Sc3 Pt2'
_cell_length_a 8.884
_cell_length_b 8.884
_cell_length_c 8.884
_cell_angle_alpha 25.42
_cell_angle_beta 25.42
_cell_angle_gamma 25.42
_space_group_name_H-M_alt 'P 1'
_space_group_IT_number 1
_space_group_name_Hall 'P 1'
loop_
_atom_site_label
_atom_site_fract_x
_atom_site_fract_y
_atom_site_fract_z
_atom_site_occupancy
Sc1 0.000 0.000 0.000 1
Sc2 0.221 0.221 0.221 1
Sc3 0.779 0.779 0.779 1
Pt1 0.394 0.394 0.394 1
Pt2 0.606 0.606 0.606 1
```

Its final energy is -6.996 eV per atom. The space group is R-3m. The polymorph energy (0 for the lowest one) is 292 meV/atom. The theoretical density is 7.666 g cm⁻³.

# 6
DFT (PBE) results for crystalline GaBiNF2 at its relaxed geometry.

Cell and atoms, written as CIF:
```
data_GaBiNF2
_chemical_formula_sum 'Ga1 Bi1 N1 F2'
_cell_length_a 4.661
_cell_length_b 4.661
_cell_length_c 4.251
_cell_angle_alpha 90.00
_cell_angle_beta 90.00
_cell_angle_gamma 90.00
_space_group_name_H-M_alt 'P 1'
_space_group_IT_number 1
_space_group_name_Hall 'P 1'
loop_
_atom_site_label
_atom_site_fract_x
_atom_site_fract_y
_atom_site_fract_z
_atom_site_occupancy
Ga1 0.000 0.000 0.000 1
Bi1 0.500 0.500 0.500 1
N1 0.500 0.500 0.000 1
F1 0.000 0.500 0.500 1
F2 0.500 0.000 0.500 1
```

As for the formation energy without anion corrections: -0.632 eV per atom. Its final energy is -4.427 eV per atom. The space group is P4/mmm. The polymorph energy (0 for the lowest one) is 231 meV/atom. The theoretical density is 5.946 g cm⁻³.